No. 1
Compound: MgCd2Pb
Source: the Alexandria database
Functional: PBE
Structure: optimized geometry

Summary:
E above lowest polymorph (eV per atom): 0.0222
Formation energy from the elements (eV/atom): 0.0066
V (Å³ per cell): 99.58

Cell: 3.5908 5.2594 6.1598 Å, 115.27 106.95 90.00°
Closest atoms and distances in Å follow each position.
Element x y z (fractional)
Cd  0.7629  0.7629  0.5257  2 Mg 3.08, 4 Cd 3.20, 2 Pb 3.30
Cd  0.2371  0.2371  0.4743  2 Mg 3.08, 4 Cd 3.20, 2 Pb 3.30
Mg  0.5000  0.0000  0.0000  4 Cd 3.08, 4 Pb 3.18
Pb  0.0000  0.5000  0.0000  4 Mg 3.18, 4 Cd 3.30

***

No. 2
Compound: Mg3Cd2Pb8
Source: the Alexandria database
Functional: PBE
Structure: optimized geometry

Summary:
Formation energy from the elements (eV/atom): 0.0268
V (Å³ per cell): 391.53

Cell: 5.0224 10.0063 9.2591 Å, 122.71 89.72 90.00°
Closest atoms and distances in Å follow each position.
Element x y z (fractional)
Mg  0.5000  0.0000  0.0000  8 Pb 3.19-3.31, 4 Mg 3.45
Mg  0.0000  0.2361  0.0000  8 Pb 3.19, 2 Mg 3.45
Mg  0.0000  0.7639  0.0000  8 Pb 3.19, 2 Mg 3.45
Cd  0.4986  0.2559  0.5118  8 Pb 3.10-3.23
Cd  0.5014  0.7441  0.4882  8 Pb 3.10-3.23
Pb  0.0018  0.6152  0.2304  2 Mg 3.19, 2 Cd 3.21-3.22, 4 Pb 3.53-3.55
Pb  0.9982  0.3848  0.7696  2 Mg 3.19, 2 Cd 3.21-3.22, 4 Pb 3.53-3.55
Pb  0.0000  0.1374  0.2747  2 Cd 3.11-3.12, 4 Mg 3.19-3.31
Pb  0.0000  0.8626  0.7253  2 Cd 3.11-3.12, 4 Mg 3.19-3.31
Pb  0.5017  0.6230  0.7483  2 Cd 3.10-3.23, 3 Mg 3.19
Pb  0.5017  0.1253  0.7483  2 Cd 3.10-3.23, 3 Mg 3.19
Pb  0.4983  0.8747  0.2517  2 Cd 3.10-3.23, 3 Mg 3.19
Pb  0.4983  0.3770  0.2517  2 Cd 3.10-3.23, 3 Mg 3.19

***

No. 3
Compound: Mg2CdPb
Source: the Alexandria database
Functional: PBE
Structure: optimized geometry

Summary:
Formation energy from the elements (eV/atom): -0.0651
V (Å³ per cell): 96.20

Cell: 4.7631 4.7637 4.2399 Å, 90.00 90.00 90.00°
Closest atoms and distances in Å follow each position.
Element x y z (fractional)
Pb  0.5000  0.0000  0.5000  8 Mg 3.19, 4 Cd 3.37
Mg  0.0000  0.0000  0.0000  4 Pb 3.19, 4 Cd 3.19, 4 Mg 3.37
Mg  0.5000  0.5000  0.0000  4 Cd 3.19, 4 Pb 3.19, 4 Mg 3.37
Cd  0.0000  0.5000  0.5000  8 Mg 3.19, 4 Pb 3.37

***

No. 4
Compound: Mg4CdPb
Source: the Alexandria database
Functional: PBE
Structure: optimized geometry

Summary:
E above lowest polymorph (eV per atom): 0.0000
Formation energy from the elements (eV/atom): -0.0343
V (Å³ per cell): 284.48

Cell: 5.2446 5.2463 11.0092 Å, 104.09 104.10 89.75°
Closest atoms and distances in Å follow each position.
Element x y z (fractional)
Mg  0.1588  0.1579  0.8206  4 Mg 3.13-3.15, 4 Pb 3.21, 1 Cd 3.32
Mg  0.3409  0.3409  0.1793  4 Mg 3.13-3.14, 4 Pb 3.21, 1 Cd 3.32
Mg  0.8412  0.8421  0.1794  4 Mg 3.13-3.15, 4 Pb 3.21, 1 Cd 3.32
Mg  0.6591  0.6591  0.8207  4 Mg 3.13-3.14, 4 Pb 3.21, 1 Cd 3.32
Mg  0.0753  0.5744  0.6538  4 Cd 3.05-3.08, 5 Mg 3.13-3.18
Mg  0.4249  0.9248  0.3461  4 Cd 3.05-3.08, 5 Mg 3.13-3.18
Mg  0.9247  0.4256  0.3462  4 Cd 3.05-3.08, 5 Mg 3.13-3.18
Mg  0.5751  0.0752  0.6539  4 Cd 3.05-3.08, 5 Mg 3.13-3.18
Cd  0.0000  0.0000  0.5000  10 Mg 3.05-3.32
Cd  0.5000  0.5000  0.5000  10 Mg 3.05-3.32
Pb  0.7500  0.2505  0.0001  10 Mg 3.21-3.58
Pb  0.2500  0.7495  0.9999  10 Mg 3.21-3.58